DFT (PBE) results for a relaxed structure of RbThAs2.

a b c (Å): 4.449 4.449 8.457
angles (deg): 74.75 74.75 60.00
Positions (direct):
Th 0.000 0.000 0.000
As 0.729 0.729 0.813
As 0.271 0.271 0.187
Rb 0.500 0.500 0.500

Computed properties:
Energy of formation: -763 meV/atom
Density of states at the Fermi level: 1.5680 states/eV per atom

---

DFT (PBE) results for a relaxed structure of Nd8Sm2Tm3.

a b c (Å): 6.141 11.751 8.945
angles (deg): 131.06 72.26 90.00
Positions (direct):
Nd 0.346 0.399 0.322
Nd 0.889 0.138 0.276
Nd 0.654 0.077 0.678
Nd 0.346 0.923 0.322
Nd 0.759 0.414 0.828
Nd 0.654 0.601 0.678
Nd 0.241 0.586 0.172
Nd 0.111 0.862 0.724
Tm 0.000 0.267 0.000
Tm 0.500 0.000 0.000
Tm 0.000 0.733 0.000
Sm 0.335 0.313 0.626
Sm 0.665 0.687 0.374

Computed properties:
Energy of formation: 159 meV/atom
Density of states at the Fermi level: 1.5404 states/eV per atom
ΔE to the lowest computed polymorph: 0.000 eV per atom

---

DFT (PBE) results for a relaxed structure of AcPr2PtO5.

a b c (Å): 6.102 6.767 6.767
angles (deg): 90.00 90.00 90.00
Positions (direct):
O 0.752 0.159 0.659
O 0.500 0.500 0.500
O 0.500 0.000 0.000
O 0.248 0.159 0.659
O 0.752 0.841 0.341
O 0.752 0.659 0.841
O 0.248 0.841 0.341
O 0.248 0.341 0.159
O 0.752 0.341 0.159
O 0.248 0.659 0.841
Pt 0.000 0.000 0.500
Pt 0.000 0.500 0.000
Pr 0.500 0.666 0.166
Pr 0.500 0.166 0.334
Pr 0.500 0.834 0.666
Pr 0.500 0.334 0.834
Ac 0.000 0.500 0.500
Ac 0.000 0.000 0.000

Computed properties:
Density of states at the Fermi level: 0.2093 states/eV per atom
E_form (uncorrected): -2.49 eV per atom

---

DFT (PBE) results for a relaxed structure of Ac6Sb3AsP2.

a b c (Å): 4.627 9.309 10.392
angles (deg): 103.44 102.86 90.00
Positions (direct):
As 0.500 0.000 0.000
Ac 0.995 0.756 0.990
Ac 0.005 0.244 0.010
Ac 0.336 0.905 0.671
Ac 0.329 0.428 0.658
Ac 0.664 0.095 0.329
Ac 0.671 0.572 0.342
Sb 0.500 0.500 0.000
Sb 0.166 0.833 0.332
Sb 0.834 0.167 0.668
P 0.833 0.666 0.666
P 0.167 0.334 0.334

Computed properties:
Density of states at the Fermi level: 0.1198 states/eV per atom
E_form (uncorrected): -1.32 eV per atom

---

DFT (PBE) results for a relaxed structure of PaPdPb2.

a b c (Å): 3.413 3.413 8.220
angles (deg): 90.00 90.00 90.00
Positions (direct):
Pa 0.500 0.500 0.500
Pd 0.500 0.500 0.000
Pb 0.000 0.000 0.214
Pb 0.000 0.000 0.786

Computed properties:
Energy of formation: 22 meV/atom
Density of states at the Fermi level: 1.4551 states/eV per atom
ΔE to the lowest computed polymorph: 0.108 eV per atom

---

DFT (PBE) results for a relaxed structure of ErZn4Ag4.

a b c (Å): 4.695 8.445 8.445
angles (deg): 90.00 90.00 90.00
Positions (direct):
Er 0.500 0.500 0.500
Er 0.000 0.000 0.000
Ag 0.000 0.645 0.923
Ag 0.500 0.577 0.145
Ag 0.500 0.423 0.855
Ag 0.000 0.923 0.355
Ag 0.000 0.355 0.077
Ag 0.500 0.145 0.423
Ag 0.000 0.077 0.645
Ag 0.500 0.855 0.577
Zn 0.000 0.290 0.384
Zn 0.000 0.710 0.616
Zn 0.000 0.384 0.710
Zn 0.500 0.116 0.790
Zn 0.500 0.790 0.884
Zn 0.500 0.210 0.116
Zn 0.500 0.884 0.210
Zn 0.000 0.616 0.290

Computed properties:
Energy of formation: -40 meV/atom
Density of states at the Fermi level: 0.5134 states/eV per atom

---

DFT (PBE) results for a relaxed structure of SmDy3Co.

a b c (Å): 7.186 7.186 7.139
angles (deg): 108.47 110.36 109.85
Positions (direct):
Dy 0.295 0.547 0.842
Dy 0.705 0.453 0.158
Dy 0.159 0.953 0.704
Dy 0.248 0.454 0.296
Dy 0.841 0.047 0.296
Dy 0.752 0.546 0.704
Co 0.367 0.252 0.619
Co 0.633 0.748 0.381
Sm 0.711 0.048 0.758
Sm 0.289 0.952 0.242

Computed properties:
Energy of formation: -99 meV/atom
Density of states at the Fermi level: 1.0563 states/eV per atom
ΔE to the lowest computed polymorph: 0.000 eV per atom

---

DFT (PBE) results for a relaxed structure of LaPm2SmDy4.

a b c (Å): 7.239 12.429 12.428
angles (deg): 131.36 125.62 89.98
Positions (direct):
Pm 0.500 0.500 0.000
Pm 0.500 0.000 0.500
Pm 0.000 0.000 0.500
Pm 0.500 0.000 0.000
Dy 0.250 0.250 0.998
Dy 0.246 0.750 0.498
Dy 0.749 0.750 0.498
Dy 0.750 0.750 0.001
Dy 0.754 0.250 0.502
Dy 0.251 0.250 0.502
Dy 0.253 0.750 0.001
Dy 0.747 0.250 0.998
Sm 0.000 0.500 0.000
Sm 0.999 0.500 0.500
La 0.500 0.500 0.500
La 0.001 0.001 0.001

Computed properties:
Energy of formation: 17 meV/atom
Density of states at the Fermi level: 1.3306 states/eV per atom

---

DFT (PBE) results for a relaxed structure of NbBiMoBr2.

a b c (Å): 4.969 4.969 5.889
angles (deg): 90.00 90.00 90.00
Positions (direct):
Mo 0.000 0.000 0.000
Br 0.500 0.000 0.000
Br 0.000 0.500 0.000
Bi 0.000 0.000 0.500
Nb 0.500 0.500 0.500

Computed properties:
Density of states at the Fermi level: 1.2030 states/eV per atom
E_form (uncorrected): 0.99 eV per atom

---

DFT (PBE) results for a relaxed structure of SmErHfN3.

a b c (Å): 3.380 5.750 8.877
angles (deg): 101.64 90.00 90.00
Positions (direct):
Er 0.750 0.853 0.358
Er 0.250 0.147 0.642
Sm 0.250 0.342 0.302
Sm 0.750 0.658 0.698
Hf 0.750 0.235 0.959
Hf 0.250 0.765 0.041
N 0.250 0.453 0.855
N 0.250 0.750 0.503
N 0.750 0.547 0.145
N 0.750 0.032 0.140
N 0.750 0.250 0.497
N 0.250 0.968 0.860

Computed properties:
Density of states at the Fermi level: 0.3575 states/eV per atom
E_form (uncorrected): -1.51 eV per atom

---

DFT (PBE) results for a relaxed structure of LiMg2I.

a b c (Å): 5.512 5.512 5.512
angles (deg): 60.00 60.00 60.00
Positions (direct):
Mg 0.250 0.250 0.250
Mg 0.750 0.750 0.750
I 0.500 0.500 0.500
Li 0.000 0.000 0.000

Computed properties:
Density of states at the Fermi level: 1.1289 states/eV per atom
ΔE to the lowest computed polymorph: 0.339 eV per atom
E_form (uncorrected): 0.22 eV per atom

---

DFT (PBE) results for a relaxed structure of PaHgCl6.

a b c (Å): 6.964 6.964 7.535
angles (deg): 62.43 62.46 59.98
Positions (direct):
Cl 0.428 0.721 0.732
Cl 0.118 0.428 0.732
Cl 0.721 0.118 0.733
Cl 0.279 0.882 0.267
Cl 0.572 0.279 0.268
Cl 0.882 0.572 0.268
Pa 0.500 0.500 0.500
Hg 0.000 0.000 0.000

Computed properties:
Density of states at the Fermi level: 0.6044 states/eV per atom
ΔE to the lowest computed polymorph: 0.000 eV per atom
E_form (uncorrected): -1.43 eV per atom

---

Q: density of states at the Fermi level of number 8 (LaPm2SmDy4)?
A: 1.3306 states/eV per atom

---

Q: density of states at the Fermi level of number 6 (ErZn4Ag4)?
A: 0.5134 states/eV per atom

---

Q: Number 8 is which compound?
A: LaPm2SmDy4

---

Q: Which value of density of states at the Fermi level does entry 8 give?
A: 1.3306 states/eV per atom